Record 1
# ScCoNi2 GGA-PBEsol optimized geometry
# DFT total energy: -6.447 eV per atom
# ΔE_f: 0.22 eV/atom
# Fermi-level density of states: 14.96 states/eV per cell
data_ScCoNi2
_chemical_formula_sum 'Sc3 Co3 Ni6'
_cell_length_a 2.6490
_cell_length_b 2.6490
_cell_length_c 24.7656
_cell_angle_alpha 90.00
_cell_angle_beta 90.00
_cell_angle_gamma 120.00
_symmetry_space_group_name_H-M 'R -3 m'
_symmetry_Int_Tables_number 166
_symmetry_space_group_name_Hall '-R 3 2"'
loop_
_atom_site_label
_atom_site_fract_x
_atom_site_fract_y
_atom_site_fract_z
Sc1 0.0000 0.0000 0.0000
Co1 0.0000 0.0000 0.5000
Ni1 0.0000 0.0000 0.2441

***

Record 2
# ScCoNiSn GGA-PBEsol optimized geometry
# DFT total energy: -6.678 eV per atom
# ΔE_f: -0.49 eV/atom
# Fermi-level density of states: 15.22 states/eV per cell
data_ScCoNiSn
_chemical_formula_sum 'Sc4 Co4 Ni4 Sn4'
_cell_length_a 6.143
_cell_length_b 6.143
_cell_length_c 6.143
_cell_angle_alpha 90.00
_cell_angle_beta 90.00
_cell_angle_gamma 90.00
_symmetry_space_group_name_H-M 'F -4 3 m'
_symmetry_Int_Tables_number 216
_symmetry_space_group_name_Hall 'F -4 2 3'
loop_
_atom_site_label
_atom_site_fract_x
_atom_site_fract_y
_atom_site_fract_z
Sc1 0.000 0.000 0.000
Co1 0.250 0.250 0.250
Ni1 0.250 0.250 0.750
Sn1 0.000 0.000 0.500

***

Record 3
# CoNiSe2 GGA-PBEsol optimized geometry
# ΔE_f (raw): 0.1556 eV/atom
# energy relative to the lowest polymorph listed for this composition: 412.4 meV per atom
# DFT total energy: -5.243 eV per atom
# Fermi-level density of states: 13.19 states/eV per cell
data_CoNiSe2
_chemical_formula_sum 'Co3 Ni3 Se6'
_cell_length_a 3.3533
_cell_length_b 3.3533
_cell_length_c 21.4186
_cell_angle_alpha 90.00
_cell_angle_beta 90.00
_cell_angle_gamma 120.00
_symmetry_space_group_name_H-M 'R -3 m'
_symmetry_Int_Tables_number 166
_symmetry_space_group_name_Hall '-R 3 2"'
loop_
_atom_site_label
_atom_site_fract_x
_atom_site_fract_y
_atom_site_fract_z
Co1 0.0000 0.0000 0.0000
Ni1 0.0000 0.0000 0.5000
Se1 0.0000 0.0000 0.1038

***

Record 4
# CoNiSe2 GGA-PBEsol optimized geometry
# ΔE_f (raw): -0.2569 eV/atom
# energy relative to the lowest polymorph listed for this composition: 0.0 meV per atom
# DFT total energy: -5.656 eV per atom
# Fermi-level density of states: 3.74 states/eV per cell
data_CoNiSe2
_chemical_formula_sum 'Co1 Ni1 Se2'
_cell_length_a 3.6115
_cell_length_b 3.6115
_cell_length_c 5.0817
_cell_angle_alpha 90.00
_cell_angle_beta 90.00
_cell_angle_gamma 120.00
_symmetry_space_group_name_H-M 'P -3 m 1'
_symmetry_Int_Tables_number 164
_symmetry_space_group_name_Hall '-P 3 2"'
loop_
_atom_site_label
_atom_site_fract_x
_atom_site_fract_y
_atom_site_fract_z
Co1 0.0000 0.0000 0.0000
Ni1 0.0000 0.0000 0.5000
Se1 0.3333 0.6667 0.7626

***

Record 5
# CoNiSe2 GGA-PBEsol optimized geometry
# ΔE_f (raw): -0.2559 eV/atom
# energy relative to the lowest polymorph listed for this composition: 1.0 meV per atom
# DFT total energy: -5.655 eV per atom
# Fermi-level density of states: 3.46 states/eV per cell
data_CoNiSe2
_chemical_formula_sum 'Co1 Ni1 Se2'
_cell_length_a 3.607
_cell_length_b 3.607
_cell_length_c 5.292
_cell_angle_alpha 90.00
_cell_angle_beta 90.00
_cell_angle_gamma 90.00
_symmetry_space_group_name_H-M 'P -4 m 2'
_symmetry_Int_Tables_number 115
loop_
_symmetry_equiv_pos_as_xyz
'x,y,z'
'y,-x,-z'
'-x,-y,z'
'-y,x,-z'
'-x,y,z'
'-y,-x,-z'
'x,-y,z'
'y,x,-z'
loop_
_atom_site_label
_atom_site_fract_x
_atom_site_fract_y
_atom_site_fract_z
Co1 0.000 0.000 0.000
Ni1 0.500 0.500 0.000
Se1 0.000 0.500 0.725

***

Record 6
# CoNi2Se4 GGA-PBEsol optimized geometry
# ΔE_f (raw): -0.3388 eV/atom
# DFT total energy: -5.403 eV per atom
# Fermi-level density of states: 8.64 states/eV per cell
data_CoNi2Se4
_chemical_formula_sum 'Co2 Ni4 Se8'
_cell_length_a 11.725
_cell_length_b 3.589
_cell_length_c 6.092
_cell_angle_alpha 90.00
_cell_angle_beta 120.30
_cell_angle_gamma 90.00
_symmetry_space_group_name_H-M 'C 1 m 1'
_symmetry_Int_Tables_number 8
loop_
_symmetry_equiv_pos_as_xyz
'x,y,z'
'x,-y,z'
'x+1/2,y+1/2,z'
'x+1/2,-y+1/2,z'
loop_
_atom_site_label
_atom_site_fract_x
_atom_site_fract_y
_atom_site_fract_z
Co1 0.000 0.000 0.000
Ni1 0.239 0.500 0.723
Ni2 0.481 0.000 0.443
Se1 0.105 0.000 0.749
Se2 0.120 0.500 0.256
Se3 0.363 0.500 0.177
Se4 0.377 0.000 0.701

***

Record 7
# CoNiSe2 GGA-PBEsol optimized geometry
# ΔE_f (raw): -0.2299 eV/atom
# energy relative to the lowest polymorph listed for this composition: 26.9 meV per atom
# DFT total energy: -5.629 eV per atom
# Fermi-level density of states: 2.36 states/eV per cell
data_CoNiSe2
_chemical_formula_sum 'Co1 Ni1 Se2'
_cell_length_a 3.181
_cell_length_b 3.181
_cell_length_c 6.164
_cell_angle_alpha 90.00
_cell_angle_beta 90.00
_cell_angle_gamma 90.00
_symmetry_space_group_name_H-M 'P 4 m m'
_symmetry_Int_Tables_number 99
loop_
_symmetry_equiv_pos_as_xyz
'x,y,z'
'-y,x,z'
'-x,-y,z'
'y,-x,z'
'-x,y,z'
'y,x,z'
'x,-y,z'
'-y,-x,z'
loop_
_atom_site_label
_atom_site_fract_x
_atom_site_fract_y
_atom_site_fract_z
Co1 0.000 0.000 0.000
Ni1 0.500 0.500 0.229
Se1 0.000 0.000 0.372
Se2 0.500 0.500 0.854

***

Record 8
# CoNiSe2 GGA-PBEsol optimized geometry
# ΔE_f (raw): 0.0377 eV/atom
# energy relative to the lowest polymorph listed for this composition: 294.6 meV per atom
# DFT total energy: -5.361 eV per atom
# Fermi-level density of states: 5.56 states/eV per cell
data_CoNiSe2
_chemical_formula_sum 'Co2 Ni2 Se4'
_cell_length_a 3.130
_cell_length_b 3.386
_cell_length_c 11.767
_cell_angle_alpha 90.00
_cell_angle_beta 90.00
_cell_angle_gamma 90.00
_symmetry_space_group_name_H-M 'I m m 2'
_symmetry_Int_Tables_number 44
loop_
_symmetry_equiv_pos_as_xyz
'x,y,z'
'-x,-y,z'
'-x,y,z'
'x,-y,z'
'x+1/2,y+1/2,z+1/2'
'-x+1/2,-y+1/2,z+1/2'
'-x+1/2,y+1/2,z+1/2'
'x+1/2,-y+1/2,z+1/2'
loop_
_atom_site_label
_atom_site_fract_x
_atom_site_fract_y
_atom_site_fract_z
Co1 0.000 0.000 0.000
Ni1 0.000 0.500 0.843
Se1 0.000 0.000 0.586
Se2 0.000 0.500 0.340

***

Record 9
# Tl2Co3NiSe4 GGA-PBEsol optimized geometry
# ΔE_f (raw): -0.2380 eV/atom
# DFT total energy: -5.241 eV per atom
# Fermi-level density of states: 8.57 states/eV per cell
data_Tl2Co3NiSe4
_chemical_formula_sum 'Tl2 Co3 Ni1 Se4'
_cell_length_a 3.738
_cell_length_b 3.738
_cell_length_c 13.553
_cell_angle_alpha 90.00
_cell_angle_beta 90.00
_cell_angle_gamma 90.00
_symmetry_space_group_name_H-M 'P -4 m 2'
_symmetry_Int_Tables_number 115
loop_
_symmetry_equiv_pos_as_xyz
'x,y,z'
'y,-x,-z'
'-x,-y,z'
'-y,x,-z'
'-x,y,z'
'-y,-x,-z'
'x,-y,z'
'y,x,-z'
loop_
_atom_site_label
_atom_site_fract_x
_atom_site_fract_y
_atom_site_fract_z
Tl1 0.000 0.500 0.249
Co1 0.000 0.000 0.000
Co2 0.000 0.000 0.500
Co3 0.500 0.500 0.500
Ni1 0.500 0.500 0.000
Se1 0.000 0.500 0.599
Se2 0.000 0.500 0.895

***

Record 10
# Tl2Co3NiSe4 GGA-PBEsol optimized geometry
# ΔE_f (raw): -0.2371 eV/atom
# DFT total energy: -5.240 eV per atom
# Fermi-level density of states: 16.39 states/eV per cell
data_Tl2Co3NiSe4
_chemical_formula_sum 'Tl4 Co6 Ni2 Se8'
_cell_length_a 5.308
_cell_length_b 13.423
_cell_length_c 5.315
_cell_angle_alpha 90.00
_cell_angle_beta 90.00
_cell_angle_gamma 90.00
_symmetry_space_group_name_H-M 'C 2 2 2'
_symmetry_Int_Tables_number 21
loop_
_symmetry_equiv_pos_as_xyz
'x,y,z'
'-x,-y,z'
'x,-y,-z'
'-x,y,-z'
'x+1/2,y+1/2,z'
'-x+1/2,-y+1/2,z'
'x+1/2,-y+1/2,-z'
'-x+1/2,y+1/2,-z'
loop_
_atom_site_label
_atom_site_fract_x
_atom_site_fract_y
_atom_site_fract_z
Tl1 0.250 0.250 0.250
Co1 0.000 0.000 0.000
Co2 0.000 0.000 0.500
Co3 0.000 0.500 0.500
Ni1 0.000 0.500 0.000
Se1 0.246 0.102 0.746

***

Record 11
# Co6SiNi GGA-PBEsol optimized geometry
# ΔE_f (raw): -0.1400 eV/atom
# DFT total energy: -7.431 eV per atom
# Fermi-level density of states: 85.41 states/eV per cell
data_Co6SiNi
_chemical_formula_sum 'Co48 Si8 Ni8'
_cell_length_a 6.907
_cell_length_b 9.793
_cell_length_c 9.799
_cell_angle_alpha 90.00
_cell_angle_beta 90.00
_cell_angle_gamma 90.00
_symmetry_space_group_name_H-M 'C m m m'
_symmetry_Int_Tables_number 65
_symmetry_space_group_name_Hall '-C 2 2'
loop_
_atom_site_label
_atom_site_fract_x
_atom_site_fract_y
_atom_site_fract_z
Co1 0.000 0.000 0.000
Co2 0.000 0.000 0.500
Co3 0.000 0.250 0.248
Co4 0.000 0.500 0.000
Co5 0.000 0.500 0.500
Co6 0.249 0.125 0.375
Co7 0.250 0.125 0.125
Si1 0.000 0.248 0.500
Si2 0.000 0.500 0.253
Ni1 0.000 0.000 0.251
Ni2 0.000 0.248 0.000

***

Record 12
# CoSiNi6 GGA-PBEsol optimized geometry
# ΔE_f (raw): -0.2285 eV/atom
# DFT total energy: -6.532 eV per atom
# Fermi-level density of states: 86.78 states/eV per cell
data_CoSiNi6
_chemical_formula_sum 'Co8 Si8 Ni48'
_cell_length_a 6.922
_cell_length_b 9.792
_cell_length_c 9.796
_cell_angle_alpha 90.00
_cell_angle_beta 90.00
_cell_angle_gamma 90.00
_symmetry_space_group_name_H-M 'C m m m'
_symmetry_Int_Tables_number 65
_symmetry_space_group_name_Hall '-C 2 2'
loop_
_atom_site_label
_atom_site_fract_x
_atom_site_fract_y
_atom_site_fract_z
Co1 0.000 0.000 0.248
Co2 0.000 0.248 0.000
Si1 0.000 0.248 0.500
Si2 0.000 0.500 0.249
Ni1 0.000 0.000 0.000
Ni2 0.000 0.000 0.500
Ni3 0.000 0.250 0.250
Ni4 0.000 0.500 0.000
Ni5 0.000 0.500 0.500
Ni6 0.249 0.375 0.126
Ni7 0.249 0.375 0.376

***

Record 13
# SmCo3Ni2 GGA-PBEsol optimized geometry
# DFT total energy: -6.911 eV per atom
# ΔE_f: -0.14 eV/atom
# Fermi-level density of states: 7.50 states/eV per cell
data_SmCo3Ni2
_chemical_formula_sum 'Sm1 Co3 Ni2'
_cell_length_a 4.8201
_cell_length_b 4.8201
_cell_length_c 3.9629
_cell_angle_alpha 90.00
_cell_angle_beta 90.00
_cell_angle_gamma 120.00
_symmetry_space_group_name_H-M 'P 6/m m m'
_symmetry_Int_Tables_number 191
_symmetry_space_group_name_Hall '-P 6 2'
loop_
_atom_site_label
_atom_site_fract_x
_atom_site_fract_y
_atom_site_fract_z
Sm1 0.0000 0.0000 0.0000
Co1 0.0000 0.5000 0.5000
Ni1 0.3333 0.6667 0.0000

***

Record 14
# TiCoNiSn GGA-PBEsol optimized geometry
# DFT total energy: -7.034 eV per atom
# ΔE_f: -0.41 eV/atom
# Fermi-level density of states: 16.46 states/eV per cell
data_TiCoNiSn
_chemical_formula_sum 'Ti4 Co4 Ni4 Sn4'
_cell_length_a 6.010
_cell_length_b 6.010
_cell_length_c 6.010
_cell_angle_alpha 90.00
_cell_angle_beta 90.00
_cell_angle_gamma 90.00
_symmetry_space_group_name_H-M 'F -4 3 m'
_symmetry_Int_Tables_number 216
_symmetry_space_group_name_Hall 'F -4 2 3'
loop_
_atom_site_label
_atom_site_fract_x
_atom_site_fract_y
_atom_site_fract_z
Ti1 0.000 0.000 0.000
Co1 0.250 0.250 0.250
Ni1 0.250 0.250 0.750
Sn1 0.000 0.000 0.500

***

Record 15
# SrCoNi GGA-PBEsol optimized geometry
# energy relative to the lowest polymorph listed for this composition: 0.0 meV per atom
# DFT total energy: -4.419 eV per atom
# ΔE_f: 0.83 eV/atom
# Fermi-level density of states: 25.00 states/eV per cell
data_SrCoNi
_chemical_formula_sum 'Sr4 Co4 Ni4'
_cell_length_a 6.263
_cell_length_b 6.263
_cell_length_c 6.263
_cell_angle_alpha 90.00
_cell_angle_beta 90.00
_cell_angle_gamma 90.00
_symmetry_space_group_name_H-M 'F -4 3 m'
_symmetry_Int_Tables_number 216
_symmetry_space_group_name_Hall 'F -4 2 3'
loop_
_atom_site_label
_atom_site_fract_x
_atom_site_fract_y
_atom_site_fract_z
Sr1 0.000 0.000 0.000
Co1 0.000 0.000 0.500
Ni1 0.250 0.250 0.250

***

Record 16
# SrCoNi2 GGA-PBEsol optimized geometry
# DFT total energy: -5.073 eV per atom
# ΔE_f: 0.40 eV/atom
# Fermi-level density of states: 7.02 states/eV per cell
data_SrCoNi2
_chemical_formula_sum 'Sr1 Co1 Ni2'
_cell_length_a 3.022
_cell_length_b 3.022
_cell_length_c 6.730
_cell_angle_alpha 90.00
_cell_angle_beta 90.00
_cell_angle_gamma 90.00
_symmetry_space_group_name_H-M 'P 4/m m m'
_symmetry_Int_Tables_number 123
_symmetry_space_group_name_Hall '-P 4 2'
loop_
_atom_site_label
_atom_site_fract_x
_atom_site_fract_y
_atom_site_fract_z
Sr1 0.000 0.000 0.000
Co1 0.000 0.000 0.500
Ni1 0.500 0.500 0.326

***

Record 17
# SrCoNi2 GGA-PBEsol optimized geometry
# DFT total energy: -5.023 eV per atom
# ΔE_f: 0.45 eV/atom
# Fermi-level density of states: 4.53 states/eV per cell
data_SrCoNi2
_chemical_formula_sum 'Sr1 Co1 Ni2'
_cell_length_a 3.018
_cell_length_b 3.018
_cell_length_c 6.739
_cell_angle_alpha 90.00
_cell_angle_beta 90.00
_cell_angle_gamma 90.00
_symmetry_space_group_name_H-M 'P 4 m m'
_symmetry_Int_Tables_number 99
loop_
_symmetry_equiv_pos_as_xyz
'x,y,z'
'-y,x,z'
'-x,-y,z'
'y,-x,z'
'-x,y,z'
'y,x,z'
'x,-y,z'
'-y,-x,z'
loop_
_atom_site_label
_atom_site_fract_x
_atom_site_fract_y
_atom_site_fract_z
Sr1 0.000 0.000 0.000
Co1 0.500 0.500 0.336
Ni1 0.000 0.000 0.496
Ni2 0.500 0.500 0.682

***

Record 18
# SrCoNi2 GGA-PBEsol optimized geometry
# DFT total energy: -5.015 eV per atom
# ΔE_f: 0.46 eV/atom
# Fermi-level density of states: 5.13 states/eV per cell
data_SrCoNi2
_chemical_formula_sum 'Sr1 Co1 Ni2'
_cell_length_a 2.813
_cell_length_b 3.901
_cell_length_c 5.975
_cell_angle_alpha 90.00
_cell_angle_beta 102.74
_cell_angle_gamma 90.00
_symmetry_space_group_name_H-M 'P 1 m 1'
_symmetry_Int_Tables_number 6
loop_
_symmetry_equiv_pos_as_xyz
'x,y,z'
'x,-y,z'
loop_
_atom_site_label
_atom_site_fract_x
_atom_site_fract_y
_atom_site_fract_z
Sr1 0.000 0.000 0.000
Co1 0.715 0.500 0.389
Ni1 0.274 0.000 0.486
Ni2 0.363 0.500 0.710

***

Record 19
# SrCo2Ni GGA-PBEsol optimized geometry
# DFT total energy: -5.412 eV per atom
# ΔE_f: 0.46 eV/atom
# Fermi-level density of states: 5.20 states/eV per cell
data_SrCo2Ni
_chemical_formula_sum 'Sr1 Co2 Ni1'
_cell_length_a 2.941
_cell_length_b 3.029
_cell_length_c 6.869
_cell_angle_alpha 90.00
_cell_angle_beta 90.00
_cell_angle_gamma 90.00
_symmetry_space_group_name_H-M 'P m m 2'
_symmetry_Int_Tables_number 25
loop_
_symmetry_equiv_pos_as_xyz
'x,y,z'
'-x,-y,z'
'-x,y,z'
'x,-y,z'
loop_
_atom_site_label
_atom_site_fract_x
_atom_site_fract_y
_atom_site_fract_z
Sr1 0.000 0.000 0.000
Co1 0.000 0.000 0.492
Co2 0.500 0.500 0.335
Ni1 0.500 0.500 0.681

***

Record 20
# SrCoNi2 GGA-PBEsol optimized geometry
# DFT total energy: -4.816 eV per atom
# ΔE_f: 0.66 eV/atom
# Fermi-level density of states: 10.50 states/eV per cell
data_SrCoNi2
_chemical_formula_sum 'Sr2 Co2 Ni4'
_cell_length_a 5.566
_cell_length_b 7.404
_cell_length_c 2.831
_cell_angle_alpha 90.00
_cell_angle_beta 90.00
_cell_angle_gamma 90.00
_symmetry_space_group_name_H-M 'C m m m'
_symmetry_Int_Tables_number 65
_symmetry_space_group_name_Hall '-C 2 2'
loop_
_atom_site_label
_atom_site_fract_x
_atom_site_fract_y
_atom_site_fract_z
Sr1 0.000 0.000 0.000
Co1 0.000 0.500 0.000
Ni1 0.250 0.250 0.500